one.
# Ho3Tm3Te2Ir

A relaxed structure of Ho3Tm3Te2Ir (PBE-GGA, OQMD via LeMat-Bulk).

Values from the calculation:
The value obtained for the magnetic moment is 0.073 μB/cell.

```
data_Ho3Tm3Te2Ir
_cell_length_a 8.2875
_cell_length_b 8.2875
_cell_length_c 3.9467
_cell_angle_alpha 90.00
_cell_angle_beta 90.00
_cell_angle_gamma 120.00
_space_group_name_H-M_alt 'P -6 2 m'
_space_group_IT_number 189
_space_group_name_Hall 'P -6 -2'
loop_
_atom_site_label
_atom_site_type_symbol
_atom_site_fract_x
_atom_site_fract_y
_atom_site_fract_z
Ho1 Ho 0.0000 0.2434 0.0000
Tm1 Tm 0.0000 0.6073 0.5000
Te1 Te 0.3333 0.6667 0.0000
Ir1 Ir 0.0000 0.0000 0.5000
```



two.
# Ho3Tm3Te2Ir

A relaxed structure of Ho3Tm3Te2Ir (PBE-GGA, OQMD via LeMat-Bulk).

Values from the calculation:
The value obtained for the magnetic moment is 0.081 μB/cell.

```
data_Ho3Tm3Te2Ir
_cell_length_a 8.2710
_cell_length_b 8.2710
_cell_length_c 3.9496
_cell_angle_alpha 90.00
_cell_angle_beta 90.00
_cell_angle_gamma 120.00
_space_group_name_H-M_alt 'P -6 2 m'
_space_group_IT_number 189
_space_group_name_Hall 'P -6 -2'
loop_
_atom_site_label
_atom_site_type_symbol
_atom_site_fract_x
_atom_site_fract_y
_atom_site_fract_z
Ho1 Ho 0.0000 0.6050 0.0000
Tm1 Tm 0.0000 0.2412 0.5000
Te1 Te 0.3333 0.6667 0.5000
Ir1 Ir 0.0000 0.0000 0.0000
```



The winner here is two, beating the second structure by 38 meV/atom.



one.
# KHoPO

A relaxed structure of KHoPO (PBE-GGA, OQMD via LeMat-Bulk).

Values from the calculation:
The value obtained for the magnetic moment is 0.000 μB/cell.

```
data_KHoPO
_cell_length_a 4.0146
_cell_length_b 4.0146
_cell_length_c 5.0631
_cell_angle_alpha 90.00
_cell_angle_beta 90.00
_cell_angle_gamma 90.00
_space_group_name_H-M_alt 'P 4/m m m'
_space_group_IT_number 123
_space_group_name_Hall '-P 4 2'
loop_
_atom_site_label
_atom_site_type_symbol
_atom_site_fract_x
_atom_site_fract_y
_atom_site_fract_z
K1 K 0.0000 0.0000 0.0000
Ho1 Ho 0.5000 0.5000 0.5000
P1 P 0.0000 0.0000 0.5000
O1 O 0.5000 0.5000 0.0000
```



two.
# KHoPO

A relaxed structure of KHoPO (PBE-GGA, OQMD via LeMat-Bulk).

Values from the calculation:
The value obtained for the magnetic moment is 0.004 μB/cell.

```
data_KHoPO
_cell_length_a 3.4175
_cell_length_b 7.6990
_cell_length_c 7.5628
_cell_angle_alpha 90.00
_cell_angle_beta 90.00
_cell_angle_gamma 90.00
_space_group_name_H-M_alt 'P m c 21'
_space_group_IT_number 26
_space_group_name_Hall 'P 2c -2'
loop_
_atom_site_label
_atom_site_type_symbol
_atom_site_fract_x
_atom_site_fract_y
_atom_site_fract_z
K1 K 0.0000 0.0484 0.0000
Ho1 Ho 0.5000 0.3763 0.3604
P1 P 0.5000 0.2924 0.7187
O1 O 0.0000 0.2436 0.2805
```



three.
# KHoPO

A relaxed structure of KHoPO (PBE-GGA, OQMD via LeMat-Bulk).

Values from the calculation:
The value obtained for the magnetic moment is 0.010 μB/cell.

```
data_KHoPO
_cell_length_a 3.9748
_cell_length_b 3.9748
_cell_length_c 10.5388
_cell_angle_alpha 90.00
_cell_angle_beta 90.00
_cell_angle_gamma 90.00
_space_group_name_H-M_alt 'P 4/n m m'
_space_group_IT_number 129
loop_
_space_group_symop_operation_xyz
'x,y,z'
'-x,-y,-z'
'-y+1/2,x,z'
'y+1/2,-x,-z'
'-x+1/2,-y+1/2,z'
'x+1/2,y+1/2,-z'
'y,-x+1/2,z'
'-y,x+1/2,-z'
'x+1/2,-y,-z'
'-x+1/2,y,z'
'-y,-x,-z'
'y,x,z'
'-x,y+1/2,-z'
'x,-y+1/2,z'
'y+1/2,x+1/2,-z'
'-y+1/2,-x+1/2,z'
loop_
_atom_site_label
_atom_site_type_symbol
_atom_site_fract_x
_atom_site_fract_y
_atom_site_fract_z
K1 K 0.2500 0.7500 0.0000
Ho1 Ho 0.2500 0.2500 0.4006
P1 P 0.2500 0.2500 0.7717
O1 O 0.2500 0.7500 0.5000
```



The winner here is two, beating the second structure by 122 meV/atom.



one.
# KHoPO

A relaxed structure of KHoPO (PBE-GGA, OQMD via LeMat-Bulk).

Values from the calculation:
The value obtained for the magnetic moment is 1.999 μB/cell.

```
data_KHoPO
_cell_length_a 4.6879
_cell_length_b 7.6108
_cell_length_c 6.5473
_cell_angle_alpha 90.00
_cell_angle_beta 90.00
_cell_angle_gamma 90.00
_space_group_name_H-M_alt 'P m c 21'
_space_group_IT_number 26
_space_group_name_Hall 'P 2c -2'
loop_
_atom_site_label
_atom_site_type_symbol
_atom_site_fract_x
_atom_site_fract_y
_atom_site_fract_z
K1 K 0.0000 0.2256 0.0000
Ho1 Ho 0.5000 0.3623 0.5738
P1 P 0.0000 0.1909 0.4866
O1 O 0.5000 0.4146 0.8885
```



two.
# KHoPO

A relaxed structure of KHoPO (PBE-GGA, OQMD via LeMat-Bulk).

Values from the calculation:
The value obtained for the magnetic moment is 0.000 μB/cell.

```
data_KHoPO
_cell_length_a 5.7027
_cell_length_b 5.7027
_cell_length_c 5.0389
_cell_angle_alpha 90.00
_cell_angle_beta 90.00
_cell_angle_gamma 90.00
_space_group_name_H-M_alt 'P 4/n m m'
_space_group_IT_number 129
loop_
_space_group_symop_operation_xyz
'x,y,z'
'-x,-y,-z'
'-y+1/2,x,z'
'y+1/2,-x,-z'
'-x+1/2,-y+1/2,z'
'x+1/2,y+1/2,-z'
'y,-x+1/2,z'
'-y,x+1/2,-z'
'x+1/2,-y,-z'
'-x+1/2,y,z'
'-y,-x,-z'
'y,x,z'
'-x,y+1/2,-z'
'x,-y+1/2,z'
'y+1/2,x+1/2,-z'
'-y+1/2,-x+1/2,z'
loop_
_atom_site_label
_atom_site_type_symbol
_atom_site_fract_x
_atom_site_fract_y
_atom_site_fract_z
K1 K 0.2500 0.2500 0.0031
Ho1 Ho 0.2500 0.7500 0.5000
P1 P 0.2500 0.2500 0.5033
O1 O 0.2500 0.7500 0.0000
```



The winner here is one, beating the second structure by 431 meV/atom.



one.
# KHoSO

A relaxed structure of KHoSO (PBE-GGA, OQMD via LeMat-Bulk).

Values from the calculation:
The value obtained for the magnetic moment is 0.001 μB/cell.

```
data_KHoSO
_cell_length_a 9.1546
_cell_length_b 7.9882
_cell_length_c 5.4652
_cell_angle_alpha 90.00
_cell_angle_beta 90.00
_cell_angle_gamma 90.00
_space_group_name_H-M_alt 'P b c m'
_space_group_IT_number 57
_space_group_name_Hall '-P 2c 2b'
loop_
_atom_site_label
_atom_site_type_symbol
_atom_site_fract_x
_atom_site_fract_y
_atom_site_fract_z
K1 K 0.0932 0.1160 0.2500
Ho1 Ho 0.3522 0.5610 0.2500
S1 S 0.3836 0.5977 0.7500
O1 O 0.1594 0.0499 0.7500
```



two.
# KHoSO

A relaxed structure of KHoSO (PBE-GGA, OQMD via LeMat-Bulk).

Values from the calculation:
The value obtained for the magnetic moment is 0.002 μB/cell.

```
data_KHoSO
_cell_length_a 4.0269
_cell_length_b 4.0269
_cell_length_c 9.7630
_cell_angle_alpha 90.00
_cell_angle_beta 90.00
_cell_angle_gamma 90.00
_space_group_name_H-M_alt 'P 4/n m m'
_space_group_IT_number 129
loop_
_space_group_symop_operation_xyz
'x,y,z'
'-x,-y,-z'
'-y+1/2,x,z'
'y+1/2,-x,-z'
'-x+1/2,-y+1/2,z'
'x+1/2,y+1/2,-z'
'y,-x+1/2,z'
'-y,x+1/2,-z'
'x+1/2,-y,-z'
'-x+1/2,y,z'
'-y,-x,-z'
'y,x,z'
'-x,y+1/2,-z'
'x,-y+1/2,z'
'y+1/2,x+1/2,-z'
'-y+1/2,-x+1/2,z'
loop_
_atom_site_label
_atom_site_type_symbol
_atom_site_fract_x
_atom_site_fract_y
_atom_site_fract_z
K1 K 0.2500 0.7500 0.0000
Ho1 Ho 0.2500 0.2500 0.3959
S1 S 0.2500 0.2500 0.7746
O1 O 0.2500 0.7500 0.5000
```



The winner here is one, beating the second structure by 47 meV/atom.



one.
# KHoSO

A relaxed structure of KHoSO (PBE-GGA, OQMD via LeMat-Bulk).

Values from the calculation:
The value obtained for the magnetic moment is 0.001 μB/cell.

```
data_KHoSO
_cell_length_a 4.3714
_cell_length_b 8.0018
_cell_length_c 6.3967
_cell_angle_alpha 90.00
_cell_angle_beta 90.00
_cell_angle_gamma 90.00
_space_group_name_H-M_alt 'P m c 21'
_space_group_IT_number 26
_space_group_name_Hall 'P 2c -2'
loop_
_atom_site_label
_atom_site_type_symbol
_atom_site_fract_x
_atom_site_fract_y
_atom_site_fract_z
K1 K 0.0000 0.1946 0.0000
Ho1 Ho 0.5000 0.3713 0.4320
S1 S 0.0000 0.2005 0.5113
O1 O 0.5000 0.4084 0.1075
```



two.
# KHoSO

A relaxed structure of KHoSO (PBE-GGA, OQMD via LeMat-Bulk).

Values from the calculation:
The value obtained for the magnetic moment is 0.001 μB/cell.

```
data_KHoSO
_cell_length_a 5.6628
_cell_length_b 5.6630
_cell_length_c 11.1284
_cell_angle_alpha 90.00
_cell_angle_beta 104.84
_cell_angle_gamma 90.00
_space_group_name_H-M_alt 'P 1 21 1'
_space_group_IT_number 4
_space_group_name_Hall 'P 2yb'
loop_
_atom_site_label
_atom_site_type_symbol
_atom_site_fract_x
_atom_site_fract_y
_atom_site_fract_z
K1 K 0.0546 0.0000 0.1033
K2 K 0.4436 0.9954 0.8964
Ho1 Ho 0.0481 0.2427 0.5969
Ho2 Ho 0.4522 0.2424 0.4031
S1 S 0.1121 0.4998 0.2123
S2 S 0.3890 0.4969 0.7876
O1 O 0.2502 0.4916 0.5003
O2 O 0.2500 0.9918 0.5000
```



The winner here is two, beating the second structure by 69 meV/atom.